# 1
Compound: LaTh2Pt9
Source: the Alexandria database
Functional: GGA-PBE
Structure: optimized geometry

**N(E_F)**: 7.02 states/eV per cell
**Symmetry**: R-3m, No. 166
**ΔE_f**: -0.98 eV/atom
**E_tot**: -85.9 eV per cell

Cell: 9.5479 9.5479 9.5479 Å, 33.36 33.36 33.36°
With the nearest neighbours (Å) after each atom.
Atoms (fractional coordinates):
La 0.0000 0.0000 0.0000  6 Pt 3.16
Th 0.1378 0.1378 0.1378  12 Pt 3.09-3.36
Th 0.8622 0.8622 0.8622  12 Pt 3.09-3.36
Pt 0.0808 0.5877 0.5877  7 Pt 2.70-2.82
Pt 0.3329 0.3329 0.3329  6 Pt 2.78-2.82
Pt 0.4123 0.4123 0.9192  7 Pt 2.70-2.82
Pt 0.4123 0.9192 0.4123  7 Pt 2.70-2.82
Pt 0.5000 0.5000 0.5000  6 Pt 2.72
Pt 0.5877 0.0808 0.5877  7 Pt 2.70-2.82
Pt 0.5877 0.5877 0.0808  7 Pt 2.70-2.82
Pt 0.6671 0.6671 0.6671  6 Pt 2.78-2.82
Pt 0.9192 0.4123 0.4123  7 Pt 2.70-2.82



# 2
Compound: Ac5Pr2SmDy
Source: the Alexandria database
Functional: GGA-PBE
Structure: optimized geometry

**N(E_F)**: 27.02 states/eV per cell
**Symmetry**: I4/mcm, No. 140
**ΔE_f**: 0.28 eV/atom
**E_tot**: -73.8 eV per cell

Cell: 11.8995 11.8995 11.8995 Å, 138.06 138.06 60.81°
With the nearest neighbours (Å) after each atom.
Atoms (fractional coordinates):
Ac 0.0000 0.0000 0.0000  4 Pr 3.38
Ac 0.0867 0.5867 0.9506  1 Pr 3.38, 1 Dy 3.55
Ac 0.1362 0.0867 0.5000  1 Pr 3.38, 1 Dy 3.55
Ac 0.3638 0.8638 0.9506  1 Pr 3.38, 1 Dy 3.55
Ac 0.4133 0.3638 0.5000  1 Pr 3.38, 1 Dy 3.55
Ac 0.5000 0.5000 0.0000  4 Pr 3.38
Ac 0.5867 0.6362 0.5000  1 Pr 3.38, 1 Dy 3.55
Ac 0.6362 0.1362 0.0494  1 Pr 3.38, 1 Dy 3.55
Ac 0.8638 0.9133 0.5000  1 Pr 3.38, 1 Dy 3.55
Ac 0.9133 0.4133 0.0494  1 Pr 3.38, 1 Dy 3.55
Pr 0.1224 0.3776 0.5000  1 Pr 2.95
Pr 0.3776 0.8776 0.2553  1 Pr 2.95
Pr 0.6224 0.1224 0.7447  1 Pr 2.95
Pr 0.8776 0.6224 0.5000  1 Pr 2.95
Sm 0.2500 0.2500 0.0000  8 Ac 3.79
Sm 0.7500 0.7500 0.0000  8 Ac 3.79
Dy 0.2500 0.7500 0.5000  4 Ac 3.55
Dy 0.7500 0.2500 0.5000  4 Ac 3.55



# 3
Compound: MgH6Os
Source: the Alexandria database
Functional: GGA-PBE
Structure: optimized geometry

**Symmetry**: C2/m, No. 12
**E_tot**: -67.1 eV per cell

Cell: 9.6609 2.9942 4.7252 Å, 90.00 113.79 90.00°
With the nearest neighbours (Å) after each atom.
Atoms (fractional coordinates):
Mg 0.0000 0.0000 0.0000  8 H 2.18-2.33
Mg 0.5000 0.5000 0.0000  8 H 2.18-2.33
H 0.1153 0.0000 0.6006  2 Os 1.81, 4 H 1.88-1.98
H 0.1292 0.5000 0.3381  1 Os 1.71
H 0.1452 0.5000 0.8585  1 Os 1.71, 2 H 1.88
H 0.3548 0.0000 0.1415  1 Os 1.71, 2 H 1.88
H 0.3708 0.0000 0.6619  1 Os 1.71
H 0.3847 0.5000 0.3994  2 Os 1.81, 4 H 1.88-1.98
H 0.6153 0.5000 0.6006  2 Os 1.81, 4 H 1.88-1.98
H 0.6292 0.0000 0.3381  1 Os 1.71
H 0.6452 0.0000 0.8585  1 Os 1.71, 2 H 1.88
H 0.8548 0.5000 0.1415  1 Os 1.71, 2 H 1.88
H 0.8708 0.5000 0.6619  1 Os 1.71
H 0.8847 0.0000 0.3994  2 Os 1.81, 4 H 1.88-1.98
Os 0.0000 0.5000 0.5000  8 H 1.71-1.81
Os 0.5000 0.0000 0.5000  8 H 1.71-1.81